No. 1
Entry from the Alexandria database: SrI3Br at its PBEsol-relaxed geometry (SCAN).

Computed properties:
Formation energy without anion corrections   -43.2 kJ/mol of atoms

a b c (Å): 5.929 5.929 5.929
angles (deg): 90.00 90.00 90.00
Space group Pm-3m (No. 221)
Asymmetric unit:
Sr  0.000  0.000  0.000 x1
I  0.000  0.500  0.500 x3
Br  0.500  0.500  0.500 x1

---

No. 2
Entry from the Alexandria database: MnCuNF2 at its PBEsol-relaxed geometry (SCAN).

Computed properties:
Formation energy without anion corrections   -59.6 kJ/mol of atoms

a b c (Å): 3.761 3.761 3.926
angles (deg): 90.00 90.00 90.00
Space group P4/mmm (No. 123)
Asymmetric unit:
Mn  0.000  0.000  0.000 x1
Cu  0.500  0.500  0.500 x1
N  0.500  0.500  0.000 x1
F  0.000  0.500  0.500 x2

---

No. 3
Entry from the Alexandria database: LiTaAu3 at its PBEsol-relaxed geometry (SCAN).

Computed properties:
ΔE_f   0.460 eV per atom

a b c (Å): 4.337 4.337 4.337
angles (deg): 90.00 90.00 90.00
Space group Pm-3m (No. 221)
Asymmetric unit:
Li  0.000  0.000  0.000 x1
Ta  0.500  0.500  0.500 x1
Au  0.000  0.000  0.500 x3

---

No. 4
Entry from the Alexandria database: ScTe3Se at its PBEsol-relaxed geometry (SCAN).

Computed properties:
Formation energy without anion corrections   18.3 kJ/mol of atoms

a b c (Å): 5.332 5.332 5.332
angles (deg): 90.00 90.00 90.00
Space group Pm-3m (No. 221)
Asymmetric unit:
Sc  0.000  0.000  0.000 x1
Te  0.000  0.500  0.500 x3
Se  0.500  0.500  0.500 x1

---

No. 5
Entry from the Alexandria database: LiTaCo at its PBEsol-relaxed geometry (SCAN).

Computed properties:
ΔE_f   0.381 eV per atom

a b c (Å): 2.7792 2.7792 6.5402
angles (deg): 90.00 90.00 120.00
Space group P3m1 (No. 156)
Asymmetric unit:
Li  0.0000  0.0000  0.0000 x1
Ta  0.3333  0.6667  0.6114 x1
Co  0.6667  0.3333  0.3126 x1

---

No. 6
Entry from the Alexandria database: KSrCr4 at its PBEsol-relaxed geometry (SCAN).

Computed properties:
ΔE_f   0.824 eV per atom

a b c (Å): 8.349 8.349 8.349
angles (deg): 90.00 90.00 90.00
Space group F-43m (No. 216)
Asymmetric unit:
K  0.000  0.000  0.000 x4
Sr  0.250  0.250  0.250 x4
Cr  0.124  0.124  0.624 x16

---

No. 7
Entry from the Alexandria database: Cs3MgIn at its PBEsol-relaxed geometry (SCAN).

Computed properties:
ΔE_f   0.437 eV per atom

a b c (Å): 7.239 7.239 7.239
angles (deg): 90.00 90.00 90.00
Space group Pm-3m (No. 221)
Asymmetric unit:
Cs  0.000  0.000  0.500 x3
Mg  0.000  0.000  0.000 x1
In  0.500  0.500  0.500 x1

---

No. 8
Entry from the Alexandria database: GaGe3F at its PBEsol-relaxed geometry (SCAN).

Computed properties:
Formation energy without anion corrections   44.9 kJ/mol of atoms

a b c (Å): 4.837 4.837 4.837
angles (deg): 90.00 90.00 90.00
Space group Pm-3m (No. 221)
Asymmetric unit:
Ga  0.000  0.000  0.000 x1
Ge  0.000  0.000  0.500 x3
F  0.500  0.500  0.500 x1

---

No. 9
Entry from the Alexandria database: ZrCu2Si at its PBEsol-relaxed geometry (SCAN).

Computed properties:
Formation energy without anion corrections   -5.9 kJ/mol of atoms

a b c (Å): 2.973 4.465 8.783
angles (deg): 90.00 90.00 90.00
Space group Imm2 (No. 44)
Asymmetric unit:
Zr  0.000  0.000  0.000 x2
Cu  0.000  0.000  0.471 x2
Cu  0.000  0.500  0.216 x2
Si  0.000  0.500  0.761 x2

---

No. 10
Entry from the Alexandria database: LaYIn2 at its PBEsol-relaxed geometry (SCAN).

Computed properties:
ΔE_f   -0.642 eV per atom

a b c (Å): 3.827 5.364 5.365
angles (deg): 90.00 90.00 90.00
Space group Pmm2 (No. 25)
Asymmetric unit:
La  0.000  0.000  0.000 x1
Y  0.000  0.500  0.504 x1
In  0.500  0.000  0.500 x1
In  0.500  0.500  0.005 x1

---

No. 11
Entry from the Alexandria database: TiBe2Mo2 at its PBEsol-relaxed geometry (SCAN).

Computed properties:
ΔE_f   -0.209 eV per atom

a b c (Å): 6.202 6.202 3.195
angles (deg): 90.00 90.00 90.00
Space group P4/mbm (No. 127)
Asymmetric unit:
Ti  0.000  0.000  0.000 x2
Be  0.116  0.384  0.000 x4
Mo  0.177  0.677  0.500 x4

---

No. 12
Entry from the Alexandria database: SbPb3 at its PBEsol-relaxed geometry (SCAN).

Computed properties:
Formation energy without anion corrections   6.9 kJ/mol of atoms

a b c (Å): 3.403 5.733 5.915
angles (deg): 90.00 90.00 90.00
Space group Pmm2 (No. 25)
Asymmetric unit:
Sb  0.000  0.000  0.000 x1
Pb  0.000  0.500  0.653 x1
Pb  0.500  0.000  0.492 x1
Pb  0.500  0.500  0.141 x1

---

No. 13
Entry from the Alexandria database: BiSeClO3 at its PBEsol-relaxed geometry (SCAN).

Computed properties:
Formation energy without anion corrections   -100.4 kJ/mol of atoms

a b c (Å): 12.310 5.336 6.606
angles (deg): 90.00 90.00 90.00
Space group Pnma (No. 62)
Asymmetric unit:
Bi  0.046  0.250  0.205 x4
Se  0.204  0.750  0.005 x4
Cl  0.064  0.750  0.394 x4
O  0.110  0.511  0.953 x8
O  0.229  0.250  0.280 x4

---

No. 14
Entry from the Alexandria database: RuRhW2 at its PBEsol-relaxed geometry (SCAN).

Computed properties:
ΔE_f   -0.075 eV per atom

a b c (Å): 3.895 3.895 7.631
angles (deg): 90.00 90.00 90.00
Space group I4/mmm (No. 139)
Asymmetric unit:
Ru  0.000  0.000  0.000 x2
Rh  0.000  0.000  0.500 x2
W  0.000  0.500  0.250 x4

---

No. 15
Entry from the Alexandria database: LiCrW4 at its PBEsol-relaxed geometry (SCAN).

Computed properties:
ΔE_f   0.688 eV per atom

a b c (Å): 7.312 7.312 7.312
angles (deg): 90.00 90.00 90.00
Space group F-43m (No. 216)
Asymmetric unit:
Li  0.000  0.000  0.000 x4
Cr  0.250  0.250  0.250 x4
W  0.126  0.126  0.626 x16

---

No. 16
Entry from the Alexandria database: GaTe2PtN at its PBEsol-relaxed geometry (SCAN).

Computed properties:
Formation energy without anion corrections   35.4 kJ/mol of atoms

a b c (Å): 5.620 5.620 3.611
angles (deg): 90.00 90.00 90.00
Space group P4/mmm (No. 123)
Asymmetric unit:
Ga  0.000  0.000  0.000 x1
Te  0.000  0.500  0.500 x2
Pt  0.500  0.500  0.500 x1
N  0.500  0.500  0.000 x1

---

No. 17
Entry from the Alexandria database: Ta2Ag2Sn at its PBEsol-relaxed geometry (SCAN).

Computed properties:
ΔE_f   0.664 eV per atom

a b c (Å): 3.680 3.680 14.211
angles (deg): 90.00 90.00 90.00
Space group I4/mmm (No. 139)
Asymmetric unit:
Ta  0.000  0.000  0.094 x4
Ag  0.000  0.500  0.250 x4
Sn  0.000  0.000  0.500 x2

---

No. 18
Entry from the Alexandria database: K2NaMgHg at its PBEsol-relaxed geometry (SCAN).

Computed properties:
ΔE_f   0.274 eV per atom

a b c (Å): 6.505 6.505 5.519
angles (deg): 90.00 90.00 90.00
Space group P4/mmm (No. 123)
Asymmetric unit:
K  0.000  0.500  0.000 x2
Na  0.000  0.000  0.000 x1
Mg  0.500  0.500  0.500 x1
Hg  0.000  0.000  0.500 x1

---

No. 19
Entry from the Alexandria database: TlIn2Cu at its PBEsol-relaxed geometry (SCAN).

Computed properties:
ΔE_f   0.103 eV per atom

a b c (Å): 3.163 3.163 8.777
angles (deg): 90.00 90.00 90.00
Space group P4/mmm (No. 123)
Asymmetric unit:
Tl  0.000  0.000  0.000 x1
In  0.500  0.500  0.307 x2
Cu  0.000  0.000  0.500 x1

---

No. 20
Entry from the Alexandria database: MgRe2Os at its PBEsol-relaxed geometry (SCAN).

Computed properties:
ΔE_f   0.205 eV per atom

a b c (Å): 2.715 4.261 5.217
angles (deg): 90.00 103.95 90.00
Space group P2/m (No. 10)
Asymmetric unit:
Mg  0.000  0.000  0.000 x1
Re  0.499  0.500  0.754 x2
Os  0.000  0.000  0.500 x1

---

No. 21
Entry from the Alexandria database: K3NiPCO7 at its PBEsol-relaxed geometry (SCAN).

Computed properties:
Formation energy without anion corrections   -202.9 kJ/mol of atoms

a b c (Å): 5.531 6.692 9.416
angles (deg): 90.00 90.00 90.00
Space group P2_1/m (No. 11)
Asymmetric unit:
K  0.249  0.250  0.432 x2
K  0.250  0.510  0.802 x4
Ni  0.250  0.750  0.156 x2
P  0.250  0.250  0.083 x2
C  0.251  0.750  0.418 x2
O  0.020  0.250  0.990 x2
O  0.051  0.750  0.344 x2
O  0.250  0.063  0.182 x4
O  0.251  0.750  0.554 x2
O  0.450  0.750  0.344 x2
O  0.482  0.250  0.991 x2

---

No. 22
Entry from the Alexandria database: InReHg2 at its PBEsol-relaxed geometry (SCAN).

Computed properties:
ΔE_f   0.775 eV per atom

a b c (Å): 5.174 5.174 2.860
angles (deg): 90.00 90.00 90.00
Space group P4/mmm (No. 123)
Asymmetric unit:
In  0.000  0.000  0.000 x1
Re  0.500  0.500  0.000 x1
Hg  0.000  0.500  0.500 x2

---

No. 23
Entry from the Alexandria database: CaSiPt at its PBEsol-relaxed geometry (SCAN).

Computed properties:
Formation energy without anion corrections   -106.3 kJ/mol of atoms

a b c (Å): 5.842 5.743 7.674
angles (deg): 90.00 116.89 90.00
Space group P2_1/c (No. 14)
Asymmetric unit:
Ca  0.206  0.127  0.386 x4
Si  0.226  0.619  0.549 x4
Pt  0.379  0.608  0.308 x4

---

No. 24
Entry from the Alexandria database: Ca2Zn2Cd at its PBEsol-relaxed geometry (SCAN).

Computed properties:
ΔE_f   -0.308 eV per atom

a b c (Å): 7.486 7.486 4.180
angles (deg): 90.00 90.00 90.00
Space group P4/mbm (No. 127)
Asymmetric unit:
Ca  0.179  0.321  0.000 x4
Zn  0.119  0.619  0.500 x4
Cd  0.000  0.000  0.500 x2

---

No. 25
Entry from the Alexandria database: Mg2ZrCd at its PBEsol-relaxed geometry (SCAN).

Computed properties:
ΔE_f   -0.059 eV per atom

a b c (Å): 3.019 4.780 5.936
angles (deg): 90.00 100.18 90.00
Space group P2/m (No. 10)
Asymmetric unit:
Mg  0.154  0.000  0.251 x2
Zr  0.500  0.500  0.000 x1
Cd  0.000  0.500  0.500 x1

---

No. 26
Entry from the Alexandria database: Mg2CuSe at its PBEsol-relaxed geometry (SCAN).

Computed properties:
Formation energy without anion corrections   -39.9 kJ/mol of atoms

a b c (Å): 6.740 3.814 6.405
angles (deg): 90.00 109.52 90.00
Space group C2/m (No. 12)
Asymmetric unit:
Mg  0.248  0.000  0.239 x4
Cu  0.000  0.500  0.000 x2
Se  0.000  0.000  0.500 x2

---

Number 1: DFT total energy -154.2 eV per cell. Number 2: DFT total energy -52.9 eV per cell. Number 3: DFT total energy -274.1 eV per cell. Number 4: DFT total energy -145.1 eV per cell. Number 5: DFT total energy -85.1 eV per cell. Number 6: DFT total energy -396.8 eV per cell. Number 7: DFT total energy -149.6 eV per cell. Number 8: DFT total energy -74.8 eV per cell. Number 9: DFT total energy -142.7 eV per cell. Number 10: DFT total energy -140.3 eV per cell. Number 11: DFT total energy -191.1 eV per cell. Number 12: DFT total energy -264.3 eV per cell. Number 13: DFT total energy -526.3 eV per cell. Number 14: DFT total energy -416.5 eV per cell. Number 15: DFT total energy -1181.6 eV per cell. Number 16: DFT total energy -168.5 eV per cell. Number 17: DFT total energy -457.0 eV per cell. Number 18: DFT total energy -92.6 eV per cell. Number 19: DFT total energy -153.9 eV per cell. Number 20: DFT total energy -218.2 eV per cell. Number 21: DFT total energy -265.2 eV per cell. Number 22: DFT total energy -237.7 eV per cell. Number 23: DFT total energy -372.7 eV per cell. Number 24: DFT total energy -156.6 eV per cell. Number 25: DFT total energy -71.3 eV per cell. Number 26: DFT total energy -93.8 eV per cell.